Entry 1:
This record from Alexandria via LeMat-Bulk describes MnPdS2Cl after structural relaxation. The functional is PBE.

Lattice parameters (Å, degrees): 4.312 4.312 4.910 90.00 90.00 90.00
Element x y z (fractional)
Mn  0.000  0.000  0.000
Pd  0.500  0.500  0.500
S  0.000  0.500  0.000
S  0.500  0.000  0.000
Cl  0.000  0.000  0.500

Volume in Å³ per atom: 18.26
Total magnetization in μB per atom: 0.00
Energy relative to the lowest polymorph listed for this composition in eV per formula unit: 0.09
Space group: P4/mmm (123)
Fermi-level density of states in states/eV/f.u.: 6.70


Entry 2:
This record from Alexandria via LeMat-Bulk describes P2RhNCl after structural relaxation. The functional is PBE.

Lattice parameters (Å, degrees): 4.544 4.544 4.725 90.00 90.00 90.00
Element x y z (fractional)
P  0.000  0.500  0.000
P  0.500  0.000  0.000
Rh  0.000  0.000  0.000
N  0.500  0.500  0.500
Cl  0.000  0.000  0.500

Volume in Å³ per atom: 19.51
Total magnetization in μB per atom: 0.00
Energy relative to the lowest polymorph listed for this composition in eV per formula unit: 2.61
Space group: P4/mmm (123)
Fermi-level density of states in states/eV/f.u.: 7.24


Entry 3:
This record from Alexandria via LeMat-Bulk describes Tm5Tl2Au2 after structural relaxation. The functional is PBE.

Lattice parameters (Å, degrees): 8.797 8.797 7.239 90.00 90.00 58.16
Element x y z (fractional)
Tm  0.000  0.000  0.000
Tm  0.054  0.691  0.655
Tm  0.191  0.554  0.155
Tm  0.309  0.946  0.655
Tm  0.446  0.809  0.155
Tm  0.500  0.500  0.500
Tm  0.554  0.191  0.845
Tm  0.691  0.054  0.345
Tm  0.809  0.446  0.845
Tm  0.946  0.309  0.345
Tl  0.211  0.211  0.000
Tl  0.289  0.289  0.500
Tl  0.711  0.711  0.500
Tl  0.789  0.789  0.000
Au  0.130  0.870  0.366
Au  0.370  0.630  0.866
Au  0.630  0.370  0.134
Au  0.870  0.130  0.634

Volume in Å³ per atom: 26.44
Total magnetization in μB per atom: 0.00
Space group: Cmce (64)
Fermi-level density of states in states/eV/f.u.: 8.47
ΔE_f in kJ/mol of formula units: -451


Entry 4:
This record from Alexandria via LeMat-Bulk describes TiIn2SN after structural relaxation. The functional is PBE.

Lattice parameters (Å, degrees): 5.172 5.172 4.466 90.00 90.00 90.00
Element x y z (fractional)
Ti  0.000  0.000  0.000
In  0.000  0.500  0.500
In  0.500  0.000  0.500
S  0.000  0.000  0.500
N  0.500  0.500  0.000

Volume in Å³ per atom: 23.90
Total magnetization in μB per atom: 0.27
Space group: P4/mmm (123)
DFT total energy in eV for the cell shown: -19.93
Fermi-level density of states in states/eV/f.u.: 4.91


Entry 5:
This record from Alexandria via LeMat-Bulk describes CeSiC after structural relaxation. The functional is PBE.

Lattice parameters (Å, degrees): 3.369 3.369 4.411 90.00 90.00 120.00
Element x y z (fractional)
Ce  0.000  0.000  0.000
Si  0.333  0.667  0.500
C  0.667  0.333  0.500

Volume in Å³ per atom: 14.45
Total magnetization in μB per atom: 0.00
Energy relative to the lowest polymorph listed for this composition in eV per formula unit: 0.51
Space group: P-6m2 (187)
Fermi-level density of states in states/eV/f.u.: 1.32


Entry 6:
This record from Alexandria via LeMat-Bulk describes Hf3Th after structural relaxation. The functional is PBE.

Lattice parameters (Å, degrees): 4.613 4.613 4.613 90.00 90.00 90.00
Element x y z (fractional)
Hf  0.000  0.000  0.500
Hf  0.000  0.500  0.000
Hf  0.500  0.000  0.000
Th  0.500  0.500  0.500

Volume in Å³ per atom: 24.54
Total magnetization in μB per atom: 0.00
Energy relative to the lowest polymorph listed for this composition in eV per formula unit: 0.12
Space group: Pm-3m (221)
Fermi-level density of states in states/eV/f.u.: 6.06
ΔE_f in kJ/mol of formula units: 52


Entry 7:
This record from Alexandria via LeMat-Bulk describes MnMoIr2 after structural relaxation. The functional is PBE.

Lattice parameters (Å, degrees): 9.158 9.158 9.158 156.09 156.09 34.07
Element x y z (fractional)
Mn  0.000  0.000  0.000
Mn  0.750  0.250  0.500
Mo  0.250  0.750  0.500
Mo  0.500  0.500  0.000
Ir  0.109  0.625  0.984
Ir  0.375  0.359  0.484
Ir  0.641  0.125  0.016
Ir  0.875  0.891  0.516

Volume in Å³ per atom: 15.75
Total magnetization in μB per atom: 0.59
Energy relative to the lowest polymorph listed for this composition in eV per formula unit: 2.62
Space group: I-42d (122)
Fermi-level density of states in states/eV/f.u.: 4.04
ΔE_f in kJ/mol of formula units: 155


Entry 8:
This record from Alexandria via LeMat-Bulk describes PmNdSm3Er after structural relaxation. The functional is PBE.

Lattice parameters (Å, degrees): 8.107 8.107 10.233 90.00 90.00 143.24
Element x y z (fractional)
Pm  0.001  0.999  0.750
Pm  0.999  0.001  0.250
Nd  0.500  0.500  0.000
Nd  0.500  0.500  0.500
Sm  0.167  0.833  0.000
Sm  0.167  0.833  0.500
Sm  0.332  0.668  0.750
Sm  0.668  0.332  0.250
Sm  0.833  0.167  0.000
Sm  0.833  0.167  0.500
Er  0.333  0.667  0.250
Er  0.667  0.333  0.750

Volume in Å³ per atom: 33.54
Total magnetization in μB per atom: 0.00
Space group: Cmcm (63)
Fermi-level density of states in states/eV/f.u.: 8.65
ΔE_f in kJ/mol of formula units: 10